# 1
An optimized crystal structure of AcNd12Dy3, computed with PBE-GGA.

Summary:
Crystal system: tetragonal
Total energy: -4.676 eV/atom
E_form: 0.3 eV per formula unit
Space-group type: P4/mmm (123)

The structure in POSCAR format:
```
AcNd12Dy3
1.0
5.195 0.000 0.000
0.000 5.195 0.000
0.000 0.000 20.764
Ac Nd Dy
1 12 3
direct
0.000 0.000 0.000 Ac
0.000 0.500 0.131 Nd
0.000 0.500 0.377 Nd
0.000 0.500 0.623 Nd
0.000 0.500 0.869 Nd
0.500 0.000 0.131 Nd
0.500 0.000 0.377 Nd
0.500 0.000 0.623 Nd
0.500 0.000 0.869 Nd
0.500 0.500 0.000 Nd
0.500 0.500 0.255 Nd
0.500 0.500 0.500 Nd
0.500 0.500 0.745 Nd
0.000 0.000 0.254 Dy
0.000 0.000 0.500 Dy
0.000 0.000 0.746 Dy
```

=====

# 2
An optimized crystal structure of K2Li2ZrS4, computed with PBE-GGA.

Summary:
Crystal system: monoclinic
Total energy: -4.877 eV/atom
ΔE_f (raw): -1.42 eV/atom
Space-group type: C2/m (12)

The structure in POSCAR format:
```
K2Li2ZrS4
1.0
7.233 -1.955 0.000
7.233 1.955 0.000
-2.553 0.000 7.008
K Li Zr S
2 2 1 4
direct
0.138 0.138 0.060 K
0.862 0.862 0.940 K
0.320 0.320 0.517 Li
0.680 0.680 0.483 Li
0.000 0.000 0.500 Zr
0.190 0.190 0.668 S
0.486 0.486 0.727 S
0.514 0.514 0.273 S
0.810 0.810 0.332 S
```

=====

# 3
An optimized crystal structure of AcCoH5, computed with PBE-GGA.

Summary:
Crystal system: orthorhombic
Total energy: -4.395 eV/atom
Space-group type: Immm (71)

The structure in POSCAR format:
```
AcCoH5
1.0
3.904 0.000 0.000
0.000 5.005 0.000
0.000 0.000 6.875
Ac Co H
2 2 10
direct
0.000 0.000 0.000 Ac
0.500 0.500 0.500 Ac
0.000 0.000 0.500 Co
0.500 0.500 0.000 Co
0.000 0.225 0.343 H
0.000 0.225 0.657 H
0.000 0.500 0.000 H
0.000 0.775 0.343 H
0.000 0.775 0.657 H
0.500 0.000 0.500 H
0.500 0.275 0.157 H
0.500 0.275 0.843 H
0.500 0.725 0.157 H
0.500 0.725 0.843 H
```

=====

Which value of total energy does entry 2 give?
-4.877 eV/atom

=====

Which of these has the highest total energy?
AcCoH5